The following is a PBE calculation of Na3Tb2HfSe6 after structural relaxation, from Alexandria via LeMat-Bulk.

**Magnetic moment**: 0.0000 μB/atom
**Symmetry**: C2/m (12)
**Electronic total energy**: -62.471 eV per cell
**Density**: 5.76 Mg/m³
**ΔE_f (raw)**: -18.4 eV/f.u.

Cell and atoms, written as CIF:
```
data_Na3Tb2HfSe6
_chemical_formula_sum 'Na3 Tb2 Hf1 Se6'
_space_group_name_H-M_alt 'P 1'
_space_group_IT_number 1
_cell_length_a 7.000
_cell_length_b 7.000
_cell_length_c 7.439
_cell_angle_alpha 99.07
_cell_angle_beta 99.07
_cell_angle_gamma 120.01
loop_
_space_group_symop_operation_xyz
'x,y,z'
loop_
_atom_site_label
_atom_site_type_symbol
_atom_site_fract_x
_atom_site_fract_y
_atom_site_fract_z
_atom_site_occupancy
Na1 Na 0.170 0.830 0.500 1
Na2 Na 0.830 0.170 0.500 1
Na3 Na 0.500 0.500 0.500 1
Tb1 Tb 0.334 0.666 0.000 1
Tb2 Tb 0.666 0.334 0.000 1
Hf1 Hf 0.000 0.000 0.000 1
Se1 Se 0.924 0.607 0.771 1
Se2 Se 0.760 0.760 0.228 1
Se3 Se 0.076 0.393 0.229 1
Se4 Se 0.607 0.924 0.771 1
Se5 Se 0.240 0.240 0.772 1
Se6 Se 0.393 0.076 0.229 1
```